This record from Alexandria describes a relaxed NaMnTc2F crystal. The functional is PBE+U.

Values from the calculation:
SG	P4/mmm, No. 123
M_tot	3.84	μB per formula unit
electronic total energy	-4.905	eV/atom

Lattice parameters (Å, degrees): 4.5042 4.3549 4.5042 90.00 90.00 90.00
Site moments in Bohr magnetons follow the coordinates.
Atoms (fractional coordinates):
F  0.0000  0.5000  0.0000  0.04
Tc  0.0000  0.0000  0.5000  1.15
Tc  0.5000  0.0000  0.0000  1.41
Na  0.5000  0.5000  0.5000  0.00
Mn  0.0000  0.0000  0.0000  0.78